(1)
An optimized crystal structure of HoGeRh3, computed with PBE.

Output
Magnetic moment, Bohr magnetons per cell: 0.000
Formation energy, eV per atom: -0.362
SG: Pm-3m, No. 221
Total energy, eV per cell: -33.1
Volume, A^3/atom: 18.947

POSCAR file:
```
HoGeRh3
1.0
-3.551 2.427 1.511
0.362 -2.008 4.077
2.836 3.295 1.371
Ho Ge Rh
1 1 3
Cartesian
-1.775 1.214 0.755
1.599 0.644 2.724
1.418 1.648 0.686
0.181 -1.004 2.038
-0.177 1.857 3.479
```

---

(2)
An optimized crystal structure of Ho3Ge4Rh2, computed with PBE.

Output
Magnetic moment, Bohr magnetons per cell: 0.000
Formation energy, eV per atom: -0.885
SG: C2/m, No. 12
Total energy, eV per cell: -54.9
Volume, A^3/atom: 19.718

POSCAR file:
```
Ho3Ge4Rh2
1.0
4.276 0.000 0.000
-2.138 5.363 -0.178
0.000 -2.416 7.818
Ho Ge Rh
3 4 2
Cartesian
2.138 -0.317 5.390
0.000 0.000 0.000
0.000 3.265 2.250
2.138 2.073 0.494
0.000 0.875 7.146
2.138 2.996 4.556
0.000 -0.048 3.085
2.138 1.124 2.805
0.000 1.824 4.836
```

---

(3)
An optimized crystal structure of Ho2Ge5Rh3, computed with PBE.

Output
Magnetic moment, Bohr magnetons per cell: 0.000
Formation energy, eV per atom: -0.757
SG: Cmc2_1, No. 36
Total energy, eV per cell: -123.7
Volume, A^3/atom: 17.744
Energy above the lowest structure with this stoichiometry, meV per atom: 22

POSCAR file:
```
Ho2Ge5Rh3
1.0
-2.533 2.963 1.619
-5.269 -2.611 -3.465
-1.315 -8.883 8.693
Ho Ge Rh
4 10 6
Cartesian
-6.367 -9.021 6.543
-4.817 -4.535 0.760
-4.220 -3.957 6.139
-2.635 0.547 0.379
-4.054 -6.911 6.301
-4.258 -5.681 3.732
-2.461 -1.662 4.692
-1.991 -2.426 1.324
-6.503 -6.815 2.295
-3.991 -5.408 9.151
-4.687 -2.744 3.188
-7.260 -6.172 5.435
-3.269 -2.204 -1.083
-6.403 -2.285 -0.335
-6.577 -4.569 3.573
-4.496 -1.424 1.074
-5.323 -3.299 -2.292
-2.374 -3.879 3.384
-5.980 -6.316 7.701
-2.075 -5.845 7.447
```

---

(4)
An optimized crystal structure of Ho4GeRh3, computed with PBE.

Output
Magnetic moment, Bohr magnetons per cell: 0.000
Formation energy, eV per atom: -0.857
SG: Pmm2, No. 25
Total energy, eV per cell: -51.8
Volume, A^3/atom: 21.412

POSCAR file:
```
Ho4GeRh3
1.0
-3.260 0.736 1.814
1.371 -2.221 3.365
4.248 8.790 4.071
Ge Rh Ho
1 3 4
Cartesian
-0.627 -0.085 2.894
3.175 4.041 4.068
1.748 3.617 1.675
2.301 8.503 4.674
0.610 2.475 4.079
4.306 6.381 5.152
0.613 1.268 0.587
1.087 5.992 3.511
```

---

(5)
An optimized crystal structure of Ho3Ge4Rh, computed with PBE.

Output
Magnetic moment, Bohr magnetons per cell: 0.000
Formation energy, eV per atom: -0.666
SG: Immm, No. 71
Total energy, eV per cell: -44.9
Volume, A^3/atom: 22.597

POSCAR file:
```
Ho3Ge4Rh
1.0
-3.654 -2.135 -0.387
2.330 -3.204 -4.316
2.988 -2.193 7.217
Ho Ge Rh
3 4 1
Cartesian
0.891 -1.862 1.864
0.774 -5.670 0.651
1.165 -1.602 -2.158
2.243 -4.336 2.753
-0.578 -3.196 -0.239
0.404 -4.547 -2.059
1.260 -2.985 4.573
-1.827 -1.068 -0.194
```

---

(6)
An optimized crystal structure of HoGe3Rh3, computed with PBE.

Output
Magnetic moment, Bohr magnetons per cell: 0.000
Formation energy, eV per atom: -0.221
SG: Pm-3n, No. 223
Total energy, eV per cell: -84.1
Volume, A^3/atom: 21.258
Energy above the lowest structure with this stoichiometry, meV per atom: 320

POSCAR file:
```
HoGe3Rh3
1.0
6.677 0.000 0.000
0.000 6.677 0.000
0.000 0.000 6.677
Ge Rh Ho
6 6 2
Cartesian
0.000 1.669 3.338
0.000 5.007 3.338
3.338 0.000 5.007
5.007 3.338 0.000
3.338 0.000 1.669
1.669 3.338 0.000
1.669 0.000 3.338
0.000 3.338 1.669
3.338 5.007 0.000
5.007 0.000 3.338
0.000 3.338 5.007
3.338 1.669 0.000
3.338 3.338 3.338
0.000 0.000 0.000
```

---

(7)
An optimized crystal structure of HoGe2Rh, computed with PBE.

Output
Magnetic moment, Bohr magnetons per cell: 0.000
Formation energy, eV per atom: -0.764
SG: R-3m, No. 166
Total energy, eV per cell: -24.2
Volume, A^3/atom: 18.621

POSCAR file:
```
HoGe2Rh
1.0
4.205 0.000 0.000
2.102 3.641 0.000
2.102 1.214 4.865
Ge Rh Ho
2 1 1
Cartesian
6.307 3.641 3.228
2.102 1.214 1.637
4.205 2.428 2.433
0.000 0.000 0.000
```

---

(8)
An optimized crystal structure of Ho3Ge8Rh3, computed with PBE.

Output
Magnetic moment, Bohr magnetons per cell: 0.000
Formation energy, eV per atom: -0.581
SG: C2/m, No. 12
Total energy, eV per cell: -80.9
Volume, A^3/atom: 18.610

POSCAR file:
```
Ho3Ge8Rh3
1.0
4.288 0.000 1.131
1.306 7.250 3.741
0.052 0.223 8.498
Ho Ge Rh
3 8 3
Cartesian
2.226 5.496 8.951
3.420 1.977 4.420
0.000 0.000 0.000
0.784 1.283 5.720
4.861 6.190 7.651
4.219 3.396 10.085
1.427 4.077 3.285
3.093 4.851 5.662
2.553 2.622 7.708
1.562 0.098 2.773
4.084 7.375 10.598
0.679 3.736 6.120
3.778 5.287 11.758
1.868 2.186 1.612
```

---

(9)
An optimized crystal structure of HoGe3Rh, computed with PBE.

Output
Magnetic moment, Bohr magnetons per cell: 0.000
Formation energy, eV per atom: -0.583
SG: Pmn2_1, No. 31
Total energy, eV per cell: -57.4
Volume, A^3/atom: 19.435

POSCAR file:
```
HoGe3Rh
1.0
5.821 0.000 0.000
0.000 5.596 -0.001
0.000 0.001 5.967
Ho Ge Rh
2 6 2
Cartesian
2.470 1.826 4.181
5.380 0.148 1.198
2.064 1.525 1.198
2.733 4.820 5.757
5.645 2.752 2.772
4.976 0.452 4.182
5.645 2.752 5.589
2.734 4.820 2.605
0.931 4.456 4.180
3.841 3.114 1.197
```

---

(10)
An optimized crystal structure of HoGe7Rh3, computed with PBE.

Output
Magnetic moment, Bohr magnetons per cell: 0.000
Formation energy, eV per atom: -0.522
SG: R-3c, No. 167
Total energy, eV per cell: -129.4
Volume, A^3/atom: 17.110

POSCAR file:
```
HoGe7Rh3
1.0
-4.819 -0.219 6.296
-5.280 -5.872 0.751
1.301 -5.787 5.790
Ho Ge Rh
2 14 6
Cartesian
-4.399 -5.939 6.418
0.000 0.000 0.000
-3.078 -2.940 6.611
-4.326 -7.371 3.466
-7.095 -6.458 8.218
-7.318 -4.529 6.271
-6.327 -5.523 3.842
-5.250 -3.178 4.941
-5.720 -8.938 6.225
-4.472 -4.507 9.371
-1.703 -5.420 4.619
-1.480 -7.349 6.566
-2.470 -6.355 8.995
-3.548 -8.700 7.896
-6.598 -8.908 9.628
-2.199 -2.969 3.209
-1.466 -4.839 7.109
-3.316 -8.759 5.339
-4.915 -7.036 9.388
-7.332 -7.039 5.728
-5.482 -3.119 7.498
-3.883 -4.841 3.449
```

---

(11)
An optimized crystal structure of Ho2Ge7Rh12, computed with PBE.

Output
Magnetic moment, Bohr magnetons per cell: 0.000
Formation energy, eV per atom: -0.710
SG: P-6, No. 174
Total energy, eV per cell: -144.6
Volume, A^3/atom: 15.913

POSCAR file:
```
Ho2Ge7Rh12
1.0
-1.762 -3.388 -0.769
-0.038 2.222 -9.702
7.706 -4.905 3.952
Ho Ge Rh
2 7 12
Cartesian
-0.881 -1.694 -0.384
2.543 -0.154 -5.151
5.125 -2.530 -0.600
6.032 -3.734 2.627
7.307 -3.036 -3.368
2.035 -0.818 -1.058
3.361 -3.020 -4.263
1.972 -1.469 -7.910
-0.346 -1.053 -4.432
3.767 -2.691 -6.641
-0.079 -0.632 -6.898
1.299 -2.219 -3.066
5.268 -5.113 0.591
5.070 -4.220 -2.891
2.394 -3.337 -0.651
4.175 -2.532 1.587
7.247 -3.548 -0.978
3.952 -1.509 -2.408
5.609 -1.859 -4.665
1.668 1.032 -8.370
0.353 0.365 -2.417
```

---

(12)
An optimized crystal structure of Ho2Ge5Rh3, computed with PBE.

Output
Magnetic moment, Bohr magnetons per cell: 0.000
Formation energy, eV per atom: -0.779
SG: C2/c, No. 15
Total energy, eV per cell: -124.2
Volume, A^3/atom: 17.945
Energy above the lowest structure with this stoichiometry, meV per atom: 0

POSCAR file:
```
Ho2Ge5Rh3
1.0
8.335 0.009 0.000
-0.631 8.311 0.000
1.879 2.030 5.181
Ho Ge Rh
4 10 6
Cartesian
1.964 4.627 3.953
6.060 9.051 3.819
7.619 5.722 1.228
3.523 1.298 1.363
9.624 1.643 3.886
-0.041 8.707 1.295
3.407 7.400 3.886
6.176 2.950 1.295
7.252 3.839 3.886
2.331 6.510 1.295
7.573 6.478 4.303
4.938 7.033 1.713
2.010 3.871 0.878
4.645 3.316 3.469
6.552 0.641 0.652
4.341 4.650 1.295
1.075 7.597 3.242
3.031 9.709 4.530
8.508 2.753 1.939
5.242 5.700 3.886
```

---

(13)
An optimized crystal structure of HoGe4Rh6, computed with PBE.

Output
Magnetic moment, Bohr magnetons per cell: 0.000
Formation energy, eV per atom: -0.747
SG: P-6m2, No. 187
Total energy, eV per cell: -75.4
Volume, A^3/atom: 15.725

POSCAR file:
```
HoGe4Rh6
1.0
7.227 0.000 0.000
-3.613 6.258 0.000
0.000 0.000 3.824
Ho Ge Rh
1 4 6
Cartesian
0.000 0.000 0.000
5.098 1.229 1.912
3.613 3.800 1.912
2.129 1.229 1.912
0.000 4.172 0.000
2.169 2.920 0.000
3.613 0.419 0.000
5.058 2.920 0.000
-1.469 5.020 1.912
0.000 2.476 1.912
1.469 5.020 1.912
```

---

(14)
An optimized crystal structure of Ho3Ge3Rh, computed with PBE.

Output
Magnetic moment, Bohr magnetons per cell: 0.001
Formation energy, eV per atom: -0.518
SG: P6_3/m, No. 176
Total energy, eV per cell: -77.1
Volume, A^3/atom: 24.646
Energy above the lowest structure with this stoichiometry, meV per atom: 403

POSCAR file:
```
Ho3Ge3Rh
1.0
5.676 0.000 0.000
0.000 8.378 0.000
0.000 -4.189 7.255
Ho Ge Rh
6 6 2
Cartesian
4.257 3.233 4.344
4.257 3.000 0.628
4.257 6.334 2.284
1.419 0.956 2.912
1.419 1.189 6.627
1.419 -2.145 4.972
1.419 3.352 4.699
1.419 2.632 0.554
1.419 6.582 2.003
4.257 0.837 2.557
4.257 1.556 6.702
4.257 -2.393 5.252
1.419 4.189 2.418
4.257 0.000 4.837
```

---

(15)
An optimized crystal structure of Ho5Ge10Rh4, computed with PBE.

Output
Magnetic moment, Bohr magnetons per cell: 0.000
Formation energy, eV per atom: -0.806
SG: P4/mbm, No. 127
Total energy, eV per cell: -227.6
Volume, A^3/atom: 19.182

POSCAR file:
```
Ho5Ge10Rh4
1.0
-12.901 1.673 -0.679
-1.682 -12.917 0.141
-0.216 0.075 4.289
Ho Ge Rh
10 20 8
Cartesian
-7.292 -5.622 -0.269
0.000 0.000 0.000
-12.201 -3.477 1.597
-5.290 -0.776 1.898
-9.509 -10.394 1.853
-2.598 -7.692 2.154
-5.691 -10.077 2.040
-11.889 -7.300 1.679
-2.911 -3.870 2.072
-9.109 -1.092 1.711
-7.158 -11.329 -0.163
-12.992 -5.761 -0.554
-1.591 -5.484 0.016
-7.425 0.085 -0.375
-4.864 -3.306 -0.187
-9.719 -7.939 -0.351
-9.604 -3.194 -0.428
-4.980 -8.051 -0.110
-11.726 -9.486 -0.425
-11.147 -1.186 -0.541
-3.436 -10.058 0.003
-2.857 -1.758 -0.113
-5.361 -5.814 1.982
-9.439 -5.355 1.769
-7.168 -3.543 1.852
-7.631 -7.626 1.900
-14.392 -9.174 1.586
-10.979 1.412 1.573
-0.407 -1.995 2.165
-3.820 -12.582 2.178
-4.084 -5.759 -0.105
-10.499 -5.485 -0.433
-7.152 -2.411 -0.318
-7.431 -8.834 -0.220
-13.896 -8.104 -0.558
-9.765 0.987 -0.509
-4.818 -12.232 -0.029
-0.687 -3.140 0.020
```

---

(16)
An optimized crystal structure of Ho2GeRh, computed with PBE.

Output
Magnetic moment, Bohr magnetons per cell: 0.000
Formation energy, eV per atom: -0.874
SG: P2_1/m, No. 11
Total energy, eV per cell: -49.2
Volume, A^3/atom: 22.081

POSCAR file:
```
Ho2GeRh
1.0
-1.155 0.289 4.000
-1.821 -5.458 -0.132
7.622 0.567 2.161
Ho Ge Rh
4 2 2
Cartesian
1.860 -0.787 3.860
2.785 -3.815 2.169
-1.258 -4.180 1.027
5.903 -0.422 5.002
0.173 -3.275 3.553
4.472 -1.327 2.477
0.675 -1.744 1.410
3.970 -2.858 4.619
```

---

(17)
An optimized crystal structure of Ho2Ge3Rh, computed with PBE.

Output
Magnetic moment, Bohr magnetons per cell: 0.000
Formation energy, eV per atom: -0.769
SG: Cm, No. 8
Total energy, eV per cell: -35.0
Volume, A^3/atom: 19.795

POSCAR file:
```
Ho2Ge3Rh
1.0
4.022 0.000 1.685
1.749 5.142 1.469
-0.036 0.022 5.731
Ho Ge Rh
2 3 1
Cartesian
2.510 1.002 5.296
3.169 4.169 3.722
4.521 3.123 6.139
3.701 1.263 2.452
1.961 3.943 6.607
1.344 1.991 2.436
```

---

(18)
An optimized crystal structure of HoGe3Rh5, computed with PBE.

Output
Magnetic moment, Bohr magnetons per cell: 0.000
Formation energy, eV per atom: -0.532
SG: Cmcm, No. 63
Total energy, eV per cell: -119.9
Volume, A^3/atom: 17.376

POSCAR file:
```
HoGe3Rh5
1.0
-1.398 -2.243 2.850
6.430 1.277 1.509
-3.506 10.201 6.308
Ho Ge Rh
2 6 10
Cartesian
0.929 6.645 8.336
0.597 2.590 2.331
0.984 9.894 8.269
2.770 1.547 5.226
2.445 5.643 5.641
-0.919 3.592 5.026
-1.244 7.688 5.440
0.542 -0.659 2.398
1.259 3.326 5.886
-0.973 9.516 7.012
-1.753 5.101 3.154
0.000 0.000 0.000
4.718 1.626 3.595
-3.192 7.609 7.072
-2.460 5.477 5.754
2.499 -0.281 3.655
0.267 5.909 4.781
3.986 3.758 4.912
```

---

(19)
An optimized crystal structure of HoGe12Rh4, computed with PBE.

Output
Magnetic moment, Bohr magnetons per cell: 0.000
Formation energy, eV per atom: -0.250
SG: Im-3, No. 204
Total energy, eV per cell: -93.6
Volume, A^3/atom: 18.927

POSCAR file:
```
HoGe12Rh4
1.0
7.477 0.000 0.000
-2.493 7.049 0.000
-2.493 -3.525 6.105
Ho Ge Rh
1 12 4
Cartesian
0.000 0.000 0.000
4.982 1.764 1.193
0.974 2.991 0.931
4.010 -1.224 3.979
0.003 -1.610 5.174
-1.518 4.748 2.124
1.518 0.533 5.173
2.495 -0.152 2.124
-0.003 3.676 3.980
2.489 5.134 0.930
3.466 2.835 3.048
-0.975 0.689 3.055
-2.490 1.760 4.911
-1.246 3.525 0.000
3.739 0.000 0.000
1.246 1.762 3.052
-1.246 -1.763 3.052
```